No. 1
# PBE-GGA NdTm2Ag2Sn2, optimized geometry
data_NdTm2Ag2Sn2
_chemical_formula_sum 'Nd1 Tm2 Ag2 Sn2'
_cell_length_a 9.080
_cell_length_b 9.080
_cell_length_c 9.080
_cell_angle_alpha 31.11
_cell_angle_beta 31.11
_cell_angle_gamma 31.11
_symmetry_space_group_name_H-M 'P 1'
_symmetry_Int_Tables_number 1
_symmetry_space_group_name_Hall 'P 1'
loop_
_atom_site_label
_atom_site_fract_x
_atom_site_fract_y
_atom_site_fract_z
Nd1 0.000 0.000 0.000
Tm1 0.135 0.135 0.135
Tm2 0.865 0.865 0.865
Ag1 0.441 0.441 0.441
Ag2 0.559 0.559 0.559
Sn1 0.262 0.262 0.262
Sn2 0.738 0.738 0.738
# * ΔH_f (0 K): -0.442 eV/atom
# * magnetization: 0.00 μB/cell

No. 2
# PBE-GGA Mo2SCl, optimized geometry
data_Mo2SCl
_chemical_formula_sum 'Mo4 S2 Cl2'
_cell_length_a 6.281
_cell_length_b 6.281
_cell_length_c 6.281
_cell_angle_alpha 127.07
_cell_angle_beta 127.07
_cell_angle_gamma 78.14
_symmetry_space_group_name_H-M 'P 1'
_symmetry_Int_Tables_number 1
_symmetry_space_group_name_Hall 'P 1'
loop_
_atom_site_label
_atom_site_fract_x
_atom_site_fract_y
_atom_site_fract_z
Mo1 0.117 0.625 0.992
Mo2 0.375 0.367 0.492
Mo3 0.633 0.125 0.008
Mo4 0.875 0.883 0.508
S1 0.000 0.000 0.000
S2 0.750 0.250 0.500
Cl1 0.250 0.750 0.500
Cl2 0.500 0.500 0.000
# * ΔE to the lowest computed polymorph: 10.9 kJ/mol of atoms
# * magnetization: 0.00 μB/cell

No. 3
# PBE-GGA BeZn2Ag, optimized geometry
data_BeZn2Ag
_chemical_formula_sum 'Be1 Zn2 Ag1'
_cell_length_a 8.585
_cell_length_b 8.585
_cell_length_c 8.585
_cell_angle_alpha 18.71
_cell_angle_beta 18.71
_cell_angle_gamma 18.71
_symmetry_space_group_name_H-M 'P 1'
_symmetry_Int_Tables_number 1
_symmetry_space_group_name_Hall 'P 1'
loop_
_atom_site_label
_atom_site_fract_x
_atom_site_fract_y
_atom_site_fract_z
Be1 0.000 0.000 0.000
Zn1 0.260 0.260 0.260
Zn2 0.740 0.740 0.740
Ag1 0.500 0.500 0.500
# * ΔH_f (0 K): 0.170 eV/atom
# * magnetization: 0.00 μB/cell